# PuZrZn4 (PBE, relaxed)
# - Total DFT energy (no corrections): -4.82 eV per atom
# - ΔE to the lowest computed polymorph: 0.0570 eV/atom
# - Energy of formation: -0.16 eV per atom
data_PuZrZn4
_space_group_name_H-M_alt 'P 6/m m m'
_space_group_IT_number 191
_space_group_name_Hall '-P 6 2'
_cell_length_a 4.3991
_cell_length_b 4.3991
_cell_length_c 6.9177
_cell_angle_alpha 90.00
_cell_angle_beta 90.00
_cell_angle_gamma 120.00
loop_
_atom_site_label
_atom_site_type_symbol
_atom_site_fract_x
_atom_site_fract_y
_atom_site_fract_z
Pu1 Pu 0.0000 0.0000 0.0000
Zr1 Zr 0.0000 0.0000 0.5000
Zn1 Zn 0.3333 0.6667 0.2876

=====

# Li3H7W (PBE, relaxed)
# - Total DFT energy (no corrections): -3.98 eV per atom
data_Li3H7W
_space_group_name_H-M_alt 'C 1 m 1'
_space_group_IT_number 8
_space_group_name_Hall 'C -2y'
_cell_length_a 6.6240
_cell_length_b 6.6533
_cell_length_c 5.1991
_cell_angle_alpha 90.00
_cell_angle_beta 125.21
_cell_angle_gamma 90.00
loop_
_atom_site_label
_atom_site_type_symbol
_atom_site_fract_x
_atom_site_fract_y
_atom_site_fract_z
Li1 Li 0.0000 0.0000 0.0000
Li2 Li 0.0051 0.2725 0.5130
H1 H 0.1062 0.0000 0.6881
H2 H 0.1563 0.5000 0.8596
H3 H 0.1569 0.3338 0.2595
H4 H 0.3508 0.0000 0.2298
H5 H 0.3772 0.2393 0.7732
W1 W 0.4347 0.0000 0.9556